A plane-wave DFT calculation with PBE was carried out for TbPr2Pu after structural relaxation.

a b c (Å): 3.627 3.627 11.857
angles (deg): 81.20 81.20 60.00
Site moments in Bohr magnetons follow the coordinates.
Positions (direct):
Pu 0.667 0.667 0.999  -5.64
Tb 0.500 0.500 0.500  0.09
Pr 0.082 0.082 0.753  -0.01
Pr 0.251 0.251 0.247  -0.04

Computed properties:
Its formation energy is 0.13 eV per atom. Its density of states at the Fermi level is 11.83 states/eV per cell. Its total DFT energy (no corrections) is -28.001 eV per cell. As for the magnetization: 1.5398 μB/atom.